No. 1
Here is a relaxed structure of Ca3Th5P8 from Alexandria via LeMat-Bulk. Energies are from PBE.

VASP energy: -6.843 eV/atom
total magnetization: 0.000 μB/atom
N(E_F): 0.225 states/eV/atom
mass density: 6.3 g cm⁻³

POSCAR file:
```
Ca3Th5P8
1.0
4.162 2.403 6.749
-4.162 2.403 6.749
0.000 -4.806 6.749
Ca Th P
3 5 8
Direct
0.000 0.500 0.500 Ca
0.500 0.000 0.500 Ca
0.500 0.500 0.000 Ca
0.000 0.000 0.000 Th
0.000 0.000 0.500 Th
0.000 0.500 0.000 Th
0.500 0.000 0.000 Th
0.500 0.500 0.500 Th
0.246 0.246 0.246 P
0.247 0.750 0.750 P
0.250 0.250 0.753 P
0.250 0.753 0.250 P
0.750 0.247 0.750 P
0.750 0.750 0.247 P
0.754 0.250 0.250 P
0.754 0.754 0.754 P
```

No. 2
Here is a relaxed structure of Ca2ZnIr from Alexandria via LeMat-Bulk. Energies are from PBE.

VASP energy: -3.880 eV/atom
total magnetization: 0.000 μB/atom
N(E_F): 0.519 states/eV/atom
mass density: 5.8 g cm⁻³

POSCAR file:
```
Ca2ZnIr
1.0
4.327 0.000 0.000
0.000 2.110 5.303
0.000 -2.110 5.303
Ca Zn Ir
2 1 1
Direct
0.000 0.000 0.000 Ca
0.500 0.284 0.284 Ca
0.000 0.701 0.701 Zn
0.500 0.581 0.581 Ir
```